# PBE+U K2AcCrO6, relaxed
data_K2AcCrO6
_space_group_name_H-M_alt 'P 1'
_space_group_IT_number 1
_cell_length_a 6.264
_cell_length_b 6.264
_cell_length_c 6.142
_cell_angle_alpha 90.00
_cell_angle_beta 90.00
_cell_angle_gamma 120.00
loop_
_space_group_symop_operation_xyz
'x,y,z'
loop_
_atom_site_label
_atom_site_fract_x
_atom_site_fract_y
_atom_site_fract_z
K1 0.333 0.667 0.076
K2 0.667 0.333 0.924
Ac1 0.000 0.000 0.500
Cr1 0.000 0.000 0.000
O1 0.136 0.273 0.817
O2 0.136 0.864 0.817
O3 0.273 0.136 0.183
O4 0.727 0.864 0.817
O5 0.864 0.136 0.183
O6 0.864 0.727 0.183
# - SG: P-3m1, No. 164
# - Electronic total energy: -5.94 eV/atom